ZnPt4Rh (PBE, optimized geometry); ΔE to the lowest computed polymorph = 0.000 eV/atom; ΔH_f (0 K) = -0.10 eV per atom
1.0
-2.363 4.140 4.713
2.363 -4.140 4.713
2.363 4.140 -4.713
Zn Pt Rh
2 8 2
Cartesian
0.000 2.070 1.166 Zn
2.363 2.070 3.548 Zn
2.363 3.427 -3.541 Pt
2.363 0.709 1.200 Pt
2.363 -0.713 3.541 Pt
0.000 0.709 3.514 Pt
2.363 3.431 1.200 Pt
0.000 4.853 1.173 Pt
0.000 3.431 3.514 Pt
0.000 0.713 8.254 Pt
2.363 2.070 -1.156 Rh
0.000 2.070 5.869 Rh

---

Rb3LiNp2S6 (PBE, optimized geometry); raw formation energy = -1.32 eV per atom
1.0
3.525 -6.112 0.000
3.525 6.112 0.000
-2.327 0.000 7.611
Rb Li Np S
3 1 2 6
Cartesian
0.000 0.000 0.000 Rb
3.525 1.945 0.000 Rb
3.525 -1.945 0.000 Rb
2.361 0.000 3.805 Li
2.361 4.069 3.805 Np
2.361 -4.069 3.805 Np
1.119 2.151 2.361 S
-0.095 0.000 5.217 S
1.119 -2.151 2.361 S
3.603 2.151 5.250 S
4.817 0.000 2.394 S
3.603 -2.151 5.250 S

---

Li7In3Ag2 (PBE, optimized geometry); ΔH_f (0 K) = -0.16 eV per atom
1.0
4.665 0.000 0.000
0.000 3.237 0.000
-2.262 0.000 14.862
Li In Ag
7 3 2
Cartesian
0.000 0.000 0.000 Li
0.013 1.618 2.645 Li
0.035 1.618 7.959 Li
0.067 0.000 12.634 Li
2.337 0.000 2.227 Li
2.369 1.618 6.902 Li
2.391 1.618 12.217 Li
0.023 0.000 5.330 In
2.333 1.618 0.000 In
2.381 0.000 9.532 In
0.048 1.618 10.557 Ag
2.356 1.618 4.304 Ag

---

Tl5Sb (PBE, optimized geometry); ΔE to the lowest computed polymorph = 0.031 eV/atom; raw formation energy = 0.02 eV per atom
1.0
3.446 0.000 0.000
0.000 3.446 0.000
0.000 0.000 15.523
Tl Sb
5 1
Cartesian
0.000 0.000 0.000 Tl
0.000 0.000 5.296 Tl
0.000 0.000 10.227 Tl
1.723 1.723 2.535 Tl
1.723 1.723 12.988 Tl
1.723 1.723 7.762 Sb

---

CdNiW2 (PBE, optimized geometry); ΔH_f (0 K) = 0.53 eV per atom
1.0
-1.579 2.344 4.316
1.579 -2.344 4.316
1.579 2.344 -4.316
Cd Ni W
1 1 2
Cartesian
0.000 0.000 0.000 Cd
1.579 0.000 2.141 Ni
0.000 0.000 4.104 W
0.000 2.344 1.843 W

---

Tl2WBr4Cl2 (PBE, optimized geometry); raw formation energy = -0.73 eV per atom
1.0
6.216 -3.772 0.000
6.216 3.772 0.000
-4.660 0.000 6.057
Tl W Br Cl
2 1 4 2
Cartesian
1.979 0.000 1.469 Tl
5.793 0.000 4.588 Tl
-2.330 0.000 3.029 W
2.552 1.965 4.263 Br
5.221 1.965 1.794 Br
2.552 -1.965 4.263 Br
5.221 -1.965 1.794 Br
-0.731 0.000 4.775 Cl
8.504 0.000 1.282 Cl

---

MgSnHg3 (PBE, optimized geometry); ΔE to the lowest computed polymorph = 0.290 eV/atom; ΔH_f (0 K) = 0.27 eV per atom
1.0
5.699 0.000 0.000
0.000 5.699 0.000
0.000 0.000 5.699
Mg Sn Hg
1 1 3
Cartesian
0.000 0.000 0.000 Mg
2.849 2.849 2.849 Sn
0.000 2.849 2.849 Hg
2.849 0.000 2.849 Hg
2.849 2.849 0.000 Hg

---

HAuOF2 (PBE, optimized geometry); ΔE to the lowest computed polymorph = 0.198 eV/atom
1.0
4.314 0.000 0.000
0.000 4.314 0.000
0.000 0.000 3.930
H Au O F
1 1 1 2
Cartesian
0.000 0.000 0.000 H
2.157 2.157 1.965 Au
2.157 2.157 0.000 O
0.000 2.157 1.965 F
2.157 0.000 1.965 F

---

Number 1: M_tot 0.00 Bohr magnetons per cell. Number 2: M_tot 6.00 Bohr magnetons per cell. Number 3: M_tot 0.00 Bohr magnetons per cell. Number 4: M_tot 0.00 Bohr magnetons per cell. Number 5: M_tot 0.00 Bohr magnetons per cell. Number 6: M_tot 2.00 Bohr magnetons per cell. Number 7: M_tot 0.00 Bohr magnetons per cell. Number 8: M_tot 0.10 Bohr magnetons per cell.